(1)
An optimized crystal structure of Sr3Ga9Ir2. Source: Alexandria, functional PBE.

a b c (Å): 4.367 8.557 8.557
angles (deg): 75.19 75.22 75.22
Fractional positions:
1 Ga 0.000 0.500 0.500
2 Ga 0.325 0.028 0.322
3 Ga 0.885 0.398 0.831
4 Ga 0.675 0.678 0.972
5 Ga 0.885 0.831 0.398
6 Ga 0.675 0.972 0.678
7 Ga 0.325 0.322 0.028
8 Ga 0.115 0.169 0.602
9 Ga 0.115 0.602 0.169
10 Sr 0.000 0.000 0.000
11 Sr 0.320 0.680 0.680
12 Sr 0.680 0.320 0.320
13 Ir 0.500 0.740 0.260
14 Ir 0.500 0.260 0.740

Formation enthalpy at 0 K: -6.39 eV per formula unit



(2)
An optimized crystal structure of LiPaZn4O8. Source: Alexandria, functional PBE.

a b c (Å): 6.180 6.180 6.291
angles (deg): 60.58 60.58 60.00
Fractional positions:
1 Zn 0.630 0.630 0.110
2 Zn 0.000 0.000 0.503
3 Zn 0.497 0.000 0.503
4 Zn 0.000 0.497 0.503
5 O 0.244 0.244 0.743
6 O 0.235 0.235 0.295
7 O 0.244 0.769 0.743
8 O 0.762 0.762 0.714
9 O 0.235 0.752 0.261
10 O 0.769 0.244 0.743
11 O 0.752 0.752 0.261
12 O 0.752 0.235 0.261
13 Li 0.377 0.377 0.869
14 Pa 0.002 0.002 0.995

Energy relative to the elements, uncorrected: -1.73 eV/atom



(3)
An optimized crystal structure of Sm3Ga7Cu2. Source: Alexandria, functional PBE.

a b c (Å): 4.255 4.248 13.300
angles (deg): 99.11 90.00 90.00
Fractional positions:
1 Ga 0.500 0.276 0.551
2 Ga 0.500 0.915 0.829
3 Ga 0.000 0.000 0.000
4 Ga 0.000 0.583 0.170
5 Ga 0.500 0.085 0.171
6 Ga 0.000 0.417 0.830
7 Ga 0.500 0.724 0.449
8 Cu 0.500 0.631 0.265
9 Cu 0.500 0.369 0.735
10 Sm 0.500 0.500 0.000
11 Sm 0.000 0.184 0.368
12 Sm 0.000 0.816 0.632

Formation enthalpy at 0 K: -6.30 eV per formula unit



(4)
An optimized crystal structure of Rb2IrPbF6. Source: Alexandria, functional PBE.

a b c (Å): 6.354 6.354 6.650
angles (deg): 61.46 61.46 90.00
Fractional positions:
1 Rb 0.250 0.750 0.500
2 Rb 0.750 0.250 0.500
3 F 0.731 0.269 0.000
4 F 0.731 0.731 0.000
5 F 0.269 0.269 0.000
6 F 0.757 0.757 0.487
7 F 0.243 0.243 0.513
8 F 0.269 0.731 0.000
9 Ir 0.500 0.500 0.000
10 Pb 0.000 0.000 0.000

Energy relative to the elements, uncorrected: -1.97 eV/atom



(5)
An optimized crystal structure of SiSbPt. Source: Alexandria, functional PBE.

a b c (Å): 6.214 6.214 6.214
angles (deg): 90.00 90.00 90.00
Fractional positions:
1 Sb 0.372 0.372 0.372
2 Sb 0.628 0.872 0.128
3 Sb 0.872 0.128 0.628
4 Sb 0.128 0.628 0.872
5 Pt 0.471 0.971 0.529
6 Pt 0.529 0.471 0.971
7 Pt 0.029 0.029 0.029
8 Pt 0.971 0.529 0.471
9 Si 0.118 0.882 0.382
10 Si 0.882 0.382 0.118
11 Si 0.618 0.618 0.618
12 Si 0.382 0.118 0.882

Energy relative to the elements, uncorrected: -0.38 eV/atom



(6)
An optimized crystal structure of Hf6Ga3Pd. Source: Alexandria, functional PBE.

a b c (Å): 5.361 7.698 9.906
angles (deg): 90.00 88.86 90.00
Fractional positions:
1 Pd 0.000 0.000 0.000
2 Pd 0.500 0.500 0.500
3 Ga 0.500 0.500 0.000
4 Ga 0.896 0.367 0.753
5 Ga 0.396 0.133 0.253
6 Ga 0.604 0.867 0.747
7 Ga 0.000 0.000 0.500
8 Ga 0.104 0.633 0.247
9 Hf 0.921 0.670 0.579
10 Hf 0.915 0.670 0.923
11 Hf 0.079 0.330 0.421
12 Hf 0.643 0.475 0.250
13 Hf 0.585 0.170 0.577
14 Hf 0.143 0.025 0.750
15 Hf 0.857 0.975 0.250
16 Hf 0.415 0.830 0.423
17 Hf 0.085 0.330 0.077
18 Hf 0.579 0.170 0.921
19 Hf 0.357 0.525 0.750
20 Hf 0.421 0.830 0.079

Formation enthalpy at 0 K: -2.08 eV per formula unit



What is the formula in the sixth record? Hf6Ga3Pd